Run w
Density functional theory data (PBE+U) for a relaxed Ge3MoF crystal.

POSCAR file:
```
Ge3MoF
1.0
4.880 0.000 0.000
0.000 4.880 0.000
0.000 0.000 4.880
Ge Mo F
3 1 1
Cartesian
0.000 0.000 2.440
0.000 2.440 0.000
2.440 0.000 0.000
0.000 0.000 0.000
2.440 2.440 2.440
```


Run x
Density functional theory data (PBE+U) for a relaxed Ge3MoF crystal.

POSCAR file:
```
Ge3MoF
1.0
4.555 0.000 0.000
0.000 4.555 0.000
0.000 0.000 4.555
Ge Mo F
3 1 1
Cartesian
0.000 0.000 2.278
0.000 2.278 0.000
2.278 0.000 0.000
2.278 2.278 2.278
0.000 0.000 0.000
```


Quick one: least stable of them? run x